Record 1
The following is a DFT calculation (PBE-GGA) of CeNdTl after structural relaxation.

Cell lengths 3.6852, 8.0493, 8.0493 Å; angles 90.66, 90.00, 90.00 degrees
Closest atoms and distances in Å follow each position.
Fractional positions:
Nd: 0.0000 0.7246 0.7246  3 Tl 3.12-3.14
Nd: 0.0000 0.2754 0.2754  3 Tl 3.12-3.14
Tl: 0.0000 0.0000 0.0000  2 Nd 3.12, 4 Ce 3.17
Tl: 0.5000 0.5000 0.5000  4 Nd 3.14, 2 Ce 3.14
Ce: 0.5000 0.7742 0.2258  3 Tl 3.14-3.17
Ce: 0.5000 0.2258 0.7742  3 Tl 3.14-3.17

Calculated values
Formation enthalpy at 0 K (eV/atom): 0.278
Calculated density (g/cm3): 6.8
E (eV per cell): -24.5
E above lowest polymorph (eV per atom): 0.403



Record 2
The following is a DFT calculation (PBE-GGA) of ScCu2Ni after structural relaxation.

Cell lengths 8.3378, 8.3378, 8.3378 Å; angles 19.70, 19.70, 19.70 degrees
Closest atoms and distances in Å follow each position.
Fractional positions:
Ni: 0.5034 0.5034 0.5034  3 Cu 2.54, 3 Sc 2.62
Cu: 0.2488 0.2488 0.2488  3 Ni 2.54, 3 Cu 2.54
Cu: 0.9943 0.9943 0.9943  3 Cu 2.54, 3 Sc 2.81
Sc: 0.7536 0.7536 0.7536  3 Ni 2.62, 3 Cu 2.81, 6 Sc 2.85

Calculated values
Formation enthalpy at 0 K (eV/atom): 0.131
Calculated density (g/cm3): 6.7
E (eV per cell): -19.8



Record 3
The following is a DFT calculation (PBE-GGA) of Pr2Sm3YTm6 after structural relaxation.

Cell lengths 6.1902, 6.1902, 11.7355 Å; angles 95.03, 95.03, 119.98 degrees
Closest atoms and distances in Å follow each position.
Fractional positions:
Tm: 0.9159 0.5824 0.7488  3 Sm 3.54, 2 Pr 3.56, 1 Y 3.56, 6 Tm 3.57-3.58
Tm: 0.2491 0.2491 0.7484  3 Sm 3.54, 1 Y 3.56, 2 Pr 3.56, 6 Tm 3.57-3.58
Tm: 0.5824 0.9159 0.7488  3 Sm 3.54, 2 Pr 3.56, 1 Y 3.56, 6 Tm 3.57-3.58
Tm: 0.4176 0.0841 0.2512  3 Sm 3.54, 2 Pr 3.56, 1 Y 3.56, 6 Tm 3.57-3.58
Tm: 0.0841 0.4176 0.2512  3 Sm 3.54, 2 Pr 3.56, 1 Y 3.56, 6 Tm 3.57-3.58
Tm: 0.7509 0.7509 0.2516  3 Sm 3.54, 1 Y 3.56, 2 Pr 3.56, 6 Tm 3.57-3.58
Pr: 0.6664 0.3336 0.0000  6 Tm 3.56, 3 Pr 3.57-3.58, 3 Y 3.57-3.58
Pr: 0.3336 0.6664 0.0000  6 Tm 3.56, 3 Pr 3.57-3.58, 3 Y 3.57-3.58
Sm: 0.1668 0.8332 0.5000  6 Tm 3.54, 6 Sm 3.57-3.58
Sm: 0.8332 0.1668 0.5000  6 Tm 3.54, 6 Sm 3.57-3.58
Sm: 0.5000 0.5000 0.5000  6 Tm 3.54, 6 Sm 3.57-3.58
Y: 0.0000 0.0000 0.0000  6 Tm 3.56, 6 Pr 3.57-3.58

Calculated values
Formation enthalpy at 0 K (eV/atom): 0.019
Calculated density (g/cm3): 7.9
E (eV per cell): -56.8



Record 4
The following is a DFT calculation (PBE-GGA) of Er6Te8I after structural relaxation.

Cell lengths 4.4212, 11.7417, 11.7417 Å; angles 120.00, 90.00, 90.00 degrees
Closest atoms and distances in Å follow each position.
Fractional positions:
Te: 0.7512 0.3147 0.3610  4 Er 3.01-3.08
Te: 0.2488 0.9536 0.3147  4 Er 3.01-3.08
Te: 0.7498 0.6667 0.3333  6 Er 3.16
Te: 0.2488 0.6853 0.6390  4 Er 3.01-3.08
Te: 0.2488 0.3610 0.0464  4 Er 3.01-3.08
Te: 0.2502 0.3333 0.6667  6 Er 3.16
Te: 0.7512 0.6390 0.9536  4 Er 3.01-3.08
Te: 0.7512 0.0464 0.6853  4 Er 3.01-3.08
Er: 0.2498 0.6568 0.1365  6 Te 3.01-3.16
Er: 0.7502 0.5203 0.6568  6 Te 3.01-3.16
Er: 0.2498 0.8635 0.5203  6 Te 3.01-3.16
Er: 0.2498 0.4797 0.3432  6 Te 3.01-3.16
Er: 0.7502 0.1365 0.4797  6 Te 3.01-3.16
Er: 0.7502 0.3432 0.8635  6 Te 3.01-3.16
I: 0.5000 0.0000 0.0000  6 Te 4.15, 2 I 4.42

Calculated values
Raw formation energy (eV/atom): -1.239
Calculated density (g/cm3): 6.8
E (eV per cell): -72.6



Question: Which value of E does entry 4 give?
Answer: -72.6 eV per cell



Question: Which value of E does entry 3 give?
Answer: -56.8 eV per cell



Question: calculated density of number 2 (ScCu2Ni)?
Answer: 6.7 g/cm3



What did the third record say?
The following is a DFT calculation (PBE-GGA) of Pr2Sm3YTm6 after structural relaxation.

Cell lengths 6.1902, 6.1902, 11.7355 Å; angles 95.03, 95.03, 119.98 degrees
Closest atoms and distances in Å follow each position.
Fractional positions:
Tm: 0.9159 0.5824 0.7488  3 Sm 3.54, 2 Pr 3.56, 1 Y 3.56, 6 Tm 3.57-3.58
Tm: 0.2491 0.2491 0.7484  3 Sm 3.54, 1 Y 3.56, 2 Pr 3.56, 6 Tm 3.57-3.58
Tm: 0.5824 0.9159 0.7488  3 Sm 3.54, 2 Pr 3.56, 1 Y 3.56, 6 Tm 3.57-3.58
Tm: 0.4176 0.0841 0.2512  3 Sm 3.54, 2 Pr 3.56, 1 Y 3.56, 6 Tm 3.57-3.58
Tm: 0.0841 0.4176 0.2512  3 Sm 3.54, 2 Pr 3.56, 1 Y 3.56, 6 Tm 3.57-3.58
Tm: 0.7509 0.7509 0.2516  3 Sm 3.54, 1 Y 3.56, 2 Pr 3.56, 6 Tm 3.57-3.58
Pr: 0.6664 0.3336 0.0000  6 Tm 3.56, 3 Pr 3.57-3.58, 3 Y 3.57-3.58
Pr: 0.3336 0.6664 0.0000  6 Tm 3.56, 3 Pr 3.57-3.58, 3 Y 3.57-3.58
Sm: 0.1668 0.8332 0.5000  6 Tm 3.54, 6 Sm 3.57-3.58
Sm: 0.8332 0.1668 0.5000  6 Tm 3.54, 6 Sm 3.57-3.58
Sm: 0.5000 0.5000 0.5000  6 Tm 3.54, 6 Sm 3.57-3.58
Y: 0.0000 0.0000 0.0000  6 Tm 3.56, 6 Pr 3.57-3.58

Calculated values
Formation enthalpy at 0 K (eV/atom): 0.019
Calculated density (g/cm3): 7.9
E (eV per cell): -56.8